(A)
## PmCdAs2 (PBE)

Data for crystalline PmCdAs2 at its relaxed geometry.

```
PmCdAs2
1.0
0.000 3.580 3.580
3.580 0.000 3.580
3.580 3.580 0.000
Pm Cd As
1 1 2
Cartesian
0.000 0.000 0.000 Pm
3.580 3.580 3.580 Cd
1.790 1.790 1.790 As
5.370 5.370 5.370 As
```

## Properties
DOS(E_F)   2.43 states/eV per cell



(B)
## PmCdAs2 (PBE)

Data for crystalline PmCdAs2 at its relaxed geometry.

```
PmCdAs2
1.0
3.997 0.000 0.000
0.000 3.997 0.000
0.000 0.000 6.436
Pm Cd As
1 1 2
Cartesian
0.000 0.000 0.000 Pm
0.000 0.000 3.218 Cd
1.998 1.998 1.255 As
1.998 1.998 5.181 As
```

## Properties
DOS(E_F)   2.37 states/eV per cell



What should be chosen as the least stable of them? Choose (A).



(A)
## CdAs2Pt2 (PBE)

Data for crystalline CdAs2Pt2 at its relaxed geometry.

```
CdAs2Pt2
1.0
-2.332 2.332 4.516
2.332 -2.332 4.516
2.332 2.332 -4.516
Cd As Pt
1 2 2
Cartesian
0.000 0.000 0.000 Cd
0.000 0.000 3.253 As
0.000 0.000 5.779 As
2.332 0.000 2.258 Pt
0.000 2.332 2.258 Pt
```

## Properties
DOS(E_F)   1.96 states/eV per cell



(B)
## CdAs2Pt2 (PBE)

Data for crystalline CdAs2Pt2 at its relaxed geometry.

```
CdAs2Pt2
1.0
-2.012 2.012 5.994
2.012 -2.012 5.994
2.012 2.012 -5.994
Cd As Pt
1 2 2
Cartesian
0.000 0.000 0.000 Cd
2.012 0.000 2.997 As
0.000 2.012 2.997 As
0.000 0.000 4.676 Pt
0.000 0.000 7.312 Pt
```

## Properties
DOS(E_F)   4.49 states/eV per cell



What should be chosen as the least stable of them? Choose (B).



(A)
## CdAsPt (PBE)

Data for crystalline CdAsPt at its relaxed geometry.

```
CdAsPt
1.0
3.382 0.000 0.000
-1.691 2.929 0.000
0.000 0.000 6.105
Cd As Pt
1 1 1
Cartesian
0.000 0.000 0.000 Cd
0.000 1.953 3.648 As
1.691 0.976 2.124 Pt
```

## Properties
DOS(E_F)   0.69 states/eV per cell



(B)
## CdAsPt (PBE)

Data for crystalline CdAsPt at its relaxed geometry.

```
CdAsPt
1.0
-1.475 1.728 5.683
1.475 -1.728 5.683
1.475 1.728 -5.683
Cd As Pt
1 1 1
Cartesian
0.000 0.000 0.000 Cd
0.000 0.000 3.282 As
0.000 0.000 7.600 Pt
```

## Properties
DOS(E_F)   1.70 states/eV per cell



What should be chosen as the least stable of them? Choose (B).



(A)
## Cd3AsPt (PBE)

Data for crystalline Cd3AsPt at its relaxed geometry.

```
Cd3AsPt
1.0
5.111 0.000 0.000
0.000 5.111 0.000
0.000 0.000 5.111
Cd As Pt
3 1 1
Cartesian
0.000 0.000 2.555 Cd
0.000 2.555 0.000 Cd
2.555 0.000 0.000 Cd
0.000 0.000 0.000 As
2.555 2.555 2.555 Pt
```

## Properties
DOS(E_F)   3.50 states/eV per cell



(B)
## Cd3AsPt (PBE)

Data for crystalline Cd3AsPt at its relaxed geometry.

```
Cd3AsPt
1.0
5.152 0.000 0.000
0.000 5.152 0.000
0.000 0.000 5.152
Cd As Pt
3 1 1
Cartesian
0.000 0.000 2.576 Cd
0.000 2.576 0.000 Cd
2.576 0.000 0.000 Cd
2.576 2.576 2.576 As
0.000 0.000 0.000 Pt
```

## Properties
DOS(E_F)   3.59 states/eV per cell



What should be chosen as the least stable of them? Choose (A).



(A)
## CdAsPt3 (PBE)

Data for crystalline CdAsPt3 at its relaxed geometry.

```
CdAsPt3
1.0
4.922 0.000 0.000
0.000 4.922 0.000
0.000 0.000 4.922
Cd As Pt
1 1 3
Cartesian
0.000 0.000 0.000 Cd
2.461 2.461 2.461 As
0.000 0.000 2.461 Pt
0.000 2.461 0.000 Pt
2.461 0.000 0.000 Pt
```

## Properties
DOS(E_F)   3.10 states/eV per cell



(B)
## CdAsPt3 (PBE)

Data for crystalline CdAsPt3 at its relaxed geometry.

```
CdAsPt3
1.0
4.687 0.000 0.000
0.000 4.687 0.000
0.000 0.000 4.687
Cd As Pt
1 1 3
Cartesian
0.000 0.000 0.000 Cd
2.343 2.343 2.343 As
0.000 2.343 2.343 Pt
2.343 0.000 2.343 Pt
2.343 2.343 0.000 Pt
```

## Properties
DOS(E_F)   4.00 states/eV per cell



What should be chosen as the least stable of them? Choose (A).



(A)
## Cd2AsPtS (PBE)

Data for crystalline Cd2AsPtS at its relaxed geometry.

```
Cd2AsPtS
1.0
4.874 0.000 0.000
0.000 4.874 0.000
0.000 0.000 4.852
Cd As Pt S
2 1 1 1
Cartesian
0.000 2.437 0.000 Cd
2.437 0.000 0.000 Cd
0.000 0.000 2.426 As
2.437 2.437 2.426 Pt
0.000 0.000 0.000 S
```

## Properties
DOS(E_F)   2.16 states/eV per cell



(B)
## Cd2AsPtS (PBE)

Data for crystalline Cd2AsPtS at its relaxed geometry.

```
Cd2AsPtS
1.0
5.301 0.000 0.000
0.000 5.301 0.000
0.000 0.000 4.533
Cd As Pt S
2 1 1 1
Cartesian
0.000 2.651 0.000 Cd
2.651 0.000 0.000 Cd
0.000 0.000 2.267 As
0.000 0.000 0.000 Pt
2.651 2.651 2.267 S
```

## Properties
DOS(E_F)   3.95 states/eV per cell



What should be chosen as the least stable of them? Choose (A).



(A)
## CdAsPtSe2 (PBE)

Data for crystalline CdAsPtSe2 at its relaxed geometry.

```
CdAsPtSe2
1.0
5.111 0.000 0.000
0.000 5.111 0.000
0.000 0.000 5.071
Cd As Pt Se
1 1 1 2
Cartesian
0.000 0.000 0.000 Cd
0.000 0.000 2.535 As
2.555 2.555 2.535 Pt
0.000 2.555 0.000 Se
2.555 0.000 0.000 Se
```

## Properties
DOS(E_F)   7.66 states/eV per cell



(B)
## CdAsPtSe2 (PBE)

Data for crystalline CdAsPtSe2 at its relaxed geometry.

```
CdAsPtSe2
1.0
5.257 0.000 0.000
0.000 5.257 0.000
0.000 0.000 4.622
Cd As Pt Se
1 1 1 2
Cartesian
0.000 0.000 0.000 Cd
2.628 2.628 0.000 As
2.628 2.628 2.311 Pt
0.000 2.628 2.311 Se
2.628 0.000 2.311 Se
```

## Properties
DOS(E_F)   4.91 states/eV per cell



(C)
## CdAsPtSe2 (PBE)

Data for crystalline CdAsPtSe2 at its relaxed geometry.

```
CdAsPtSe2
1.0
5.049 0.000 0.000
0.000 5.049 0.000
0.000 0.000 4.965
Cd As Pt Se
1 1 1 2
Cartesian
0.000 0.000 0.000 Cd
0.000 0.000 2.482 As
2.524 2.524 0.000 Pt
0.000 2.524 2.482 Se
2.524 0.000 2.482 Se
```

## Properties
DOS(E_F)   6.87 states/eV per cell



What should be chosen as the least stable of them? Choose (A).



(A)
## Rb2CdAs2 (PBE)

Data for crystalline Rb2CdAs2 at its relaxed geometry.

```
Rb2CdAs2
1.0
7.356 0.000 0.000
0.000 7.356 0.000
0.000 0.000 5.733
Rb Cd As
4 2 4
Cartesian
1.263 2.415 0.000 Rb
2.415 6.093 0.000 Rb
4.941 1.263 0.000 Rb
6.093 4.941 0.000 Rb
0.000 0.000 2.866 Cd
3.678 3.678 2.866 Cd
0.908 4.586 2.866 As
2.770 0.908 2.866 As
4.586 6.448 2.866 As
6.448 2.770 2.866 As
```

## Properties
DOS(E_F)   1.03 states/eV per cell



(B)
## Rb2CdAs2 (PBE)

Data for crystalline Rb2CdAs2 at its relaxed geometry.

```
Rb2CdAs2
1.0
5.932 -2.634 0.000
5.932 2.634 0.000
-5.529 0.000 10.068
Rb Cd As
4 2 4
Cartesian
-1.169 0.000 3.959 Rb
-0.585 0.000 8.082 Rb
6.919 0.000 1.986 Rb
7.503 0.000 6.109 Rb
3.369 0.000 1.439 Cd
2.966 0.000 8.629 Cd
-4.282 0.000 9.637 As
2.411 0.000 4.017 As
3.923 0.000 6.051 As
10.617 0.000 0.431 As
```

## Properties
DOS(E_F)   2.18 states/eV per cell



(C)
## Rb2CdAs2 (PBE)

Data for crystalline Rb2CdAs2 at its relaxed geometry.

```
Rb2CdAs2
1.0
-3.383 3.383 4.534
3.383 -3.383 4.534
3.383 3.383 -4.534
Rb Cd As
2 1 2
Cartesian
3.383 0.000 2.267 Rb
0.000 3.383 2.267 Rb
0.000 0.000 0.000 Cd
0.000 0.000 3.377 As
0.000 0.000 5.691 As
```

## Properties
DOS(E_F)   5.10 states/eV per cell



What should be chosen as the least stable of them? Choose (C).



(A)
## Rb2Cd2As (PBE)

Data for crystalline Rb2Cd2As at its relaxed geometry.

```
Rb2Cd2As
1.0
-2.044 2.044 11.484
2.044 -2.044 11.484
2.044 2.044 -11.484
Rb Cd As
2 2 1
Cartesian
0.000 0.000 2.107 Rb
0.000 0.000 20.860 Rb
2.044 0.000 5.742 Cd
0.000 2.044 5.742 Cd
0.000 0.000 11.484 As
```

## Properties
DOS(E_F)   2.88 states/eV per cell



(B)
## Rb2Cd2As (PBE)

Data for crystalline Rb2Cd2As at its relaxed geometry.

```
Rb2Cd2As
1.0
7.684 0.000 0.000
0.000 7.684 0.000
0.000 0.000 5.864
Rb Cd As
4 4 2
Cartesian
1.434 2.409 0.000 Rb
2.409 6.251 0.000 Rb
5.276 1.434 0.000 Rb
6.251 5.276 0.000 Rb
1.037 4.879 2.932 Cd
2.805 1.037 2.932 Cd
4.879 6.647 2.932 Cd
6.647 2.805 2.932 Cd
0.000 0.000 2.932 As
3.842 3.842 2.932 As
```

## Properties
DOS(E_F)   7.31 states/eV per cell



(C)
## Rb2Cd2As (PBE)

Data for crystalline Rb2Cd2As at its relaxed geometry.

```
Rb2Cd2As
1.0
-3.574 3.574 4.124
3.574 -3.574 4.124
3.574 3.574 -4.124
Rb Cd As
2 2 1
Cartesian
3.574 0.000 2.062 Rb
0.000 3.574 2.062 Rb
0.000 0.000 1.452 Cd
0.000 0.000 6.795 Cd
0.000 0.000 4.124 As
```

## Properties
DOS(E_F)   1.07 states/eV per cell



What should be chosen as the least stable of them? Choose (A).



(A)
## Rb2CdAs (PBE)

Data for crystalline Rb2CdAs at its relaxed geometry.

```
Rb2CdAs
1.0
0.000 4.251 4.251
4.251 0.000 4.251
4.251 4.251 0.000
Rb Cd As
2 1 1
Cartesian
2.126 2.126 2.126 Rb
6.377 6.377 6.377 Rb
0.000 0.000 0.000 Cd
4.251 4.251 4.251 As
```

## Properties
DOS(E_F)   3.59 states/eV per cell



(B)
## Rb2CdAs (PBE)

Data for crystalline Rb2CdAs at its relaxed geometry.

```
Rb2CdAs
1.0
-2.617 2.617 11.651
2.617 -2.617 11.651
2.617 2.617 -11.651
Rb Cd As
4 2 2
Cartesian
3.926 1.257 -2.913 Rb
1.257 1.309 2.913 Rb
-1.309 1.360 8.738 Rb
1.360 1.309 14.563 Rb
2.617 0.000 5.825 Cd
0.000 0.000 11.651 Cd
0.000 0.000 0.000 As
0.000 2.617 5.825 As
```

## Properties
DOS(E_F)   3.99 states/eV per cell



What should be chosen as the least stable of them? Choose (B).



(A)
## RbCdAs3 (PBE)

Data for crystalline RbCdAs3 at its relaxed geometry.

```
RbCdAs3
1.0
5.688 0.000 0.000
0.000 5.688 0.000
0.000 0.000 5.688
Rb Cd As
1 1 3
Cartesian
0.000 0.000 0.000 Rb
2.844 2.844 2.844 Cd
0.000 0.000 2.844 As
0.000 2.844 0.000 As
2.844 0.000 0.000 As
```

## Properties
DOS(E_F)   6.51 states/eV per cell



(B)
## RbCdAs3 (PBE)

Data for crystalline RbCdAs3 at its relaxed geometry.

```
RbCdAs3
1.0
5.340 0.000 0.000
0.000 5.340 0.000
0.000 0.000 5.340
Rb Cd As
1 1 3
Cartesian
0.000 0.000 0.000 Rb
2.670 2.670 2.670 Cd
0.000 2.670 2.670 As
2.670 0.000 2.670 As
2.670 2.670 0.000 As
```

## Properties
DOS(E_F)   3.95 states/eV per cell



What should be chosen as the least stable of them? Choose (A).



(A)
## RbCdAs2Se (PBE)

Data for crystalline RbCdAs2Se at its relaxed geometry.

```
RbCdAs2Se
1.0
5.285 0.000 0.000
0.000 5.285 0.000
0.000 0.000 5.576
Rb Cd As Se
1 1 2 1
Cartesian
0.000 0.000 0.000 Rb
2.642 2.642 2.788 Cd
0.000 2.642 2.788 As
2.642 0.000 2.788 As
2.642 2.642 0.000 Se
```

## Properties
DOS(E_F)   4.43 states/eV per cell



(B)
## RbCdAs2Se (PBE)

Data for crystalline RbCdAs2Se at its relaxed geometry.

```
RbCdAs2Se
1.0
5.789 0.000 0.000
0.000 5.789 0.000
0.000 0.000 5.824
Rb Cd As Se
1 1 2 1
Cartesian
0.000 0.000 0.000 Rb
2.894 2.894 2.912 Cd
0.000 2.894 0.000 As
2.894 0.000 0.000 As
0.000 0.000 2.912 Se
```

## Properties
DOS(E_F)   5.98 states/eV per cell



What should be chosen as the least stable of them? Choose (B).



(A)
## CdReAs (PBE)

Data for crystalline CdReAs at its relaxed geometry.

```
CdReAs
1.0
4.736 0.000 0.000
-2.368 4.101 0.000
0.000 0.000 2.702
Cd Re As
1 1 1
Cartesian
0.000 0.000 0.000 Cd
0.000 2.734 1.351 Re
2.368 1.367 1.351 As
```

## Properties
DOS(E_F)   1.89 states/eV per cell



(B)
## CdReAs (PBE)

Data for crystalline CdReAs at its relaxed geometry.

```
CdReAs
1.0
0.000 3.092 3.092
3.092 0.000 3.092
3.092 3.092 0.000
Cd Re As
1 1 1
Cartesian
0.000 0.000 0.000 Cd
1.546 1.546 1.546 Re
3.092 3.092 3.092 As
```

## Properties
DOS(E_F)   1.23 states/eV per cell



What should be chosen as the least stable of them? Choose (B).